First-principles (PBE-GGA) data for crystalline Ac5Pb2Au2 at its relaxed geometry, as listed in Alexandria via LeMat-Bulk.

Cell: 11.174 11.174 11.174 Å, 66.11 127.64 142.58°
Element x y z (fractional)
Ac: 0.215 0.062 0.277
Ac: 0.215 0.438 0.653
Ac: 0.223 0.038 0.686
Ac: 0.352 0.538 0.314
Ac: 0.655 0.130 0.232
Ac: 0.655 0.923 0.025
Ac: 0.785 0.562 0.347
Ac: 0.785 0.938 0.723
Ac: 0.898 0.423 0.768
Ac: 0.898 0.630 0.975
Pb: 0.235 0.377 0.016
Pb: 0.235 0.720 0.358
Pb: 0.362 0.220 0.984
Pb: 0.362 0.877 0.642
Au: 0.687 0.187 0.500
Au: 0.687 0.687 0.000
Au: 0.710 0.587 0.623
Au: 0.965 0.087 0.377

## Properties
Magnetic moment ... 0.000 μB per formula unit
Formation energy from the elements ... -0.50 eV/atom
SG ... Ima2, No. 46